Compound: SrTlCr2
Source: Alexandria
Functional: PBE
Structure: relaxed

Calculated values
The total magnetization is 8.8 μB/f.u. The energy of formation comes out at 227 kJ/mol of formula units.

Unit cell a=8.395 b=4.849 c=6.131 alpha=90.00 beta=117.24 gamma=90.00
Space group C2/m (No. 12)
Unique sites:
Sr (0.000, 0.000, 0.000) (multiplicity 2)
Tl (0.000, 0.500, 0.500) (multiplicity 2)
Cr (0.201, 0.000, 0.603) (multiplicity 4)

Compound: SrTlCr2
Source: Alexandria
Functional: PBE
Structure: relaxed

Calculated values
The total magnetization is 8.8 μB/f.u. The energy of formation comes out at 276 kJ/mol of formula units.

Unit cell a=3.744 b=3.744 c=7.379 alpha=90.00 beta=90.00 gamma=90.00
Space group P4/mmm (No. 123)
Unique sites:
Sr (0.000, 0.000, 0.000) (multiplicity 1)
Tl (0.000, 0.000, 0.500) (multiplicity 1)
Cr (0.500, 0.500, 0.303) (multiplicity 2)

Compound: SrTlCr2
Source: Alexandria
Functional: PBE
Structure: relaxed

Calculated values
The total magnetization is 4.7 μB/f.u. The energy of formation comes out at 348 kJ/mol of formula units.

Unit cell a=4.708 b=4.708 c=19.614 alpha=90.00 beta=90.00 gamma=90.00
Space group I4_1/amd (No. 141, origin choice 2)
Unique sites:
Sr (0.000, 0.250, 0.375) (multiplicity 4)
Tl (0.000, 0.250, 0.875) (multiplicity 4)
Cr (0.000, 0.000, 0.000) (multiplicity 8)

Compound: SrTlCr2
Source: Alexandria
Functional: PBE
Structure: relaxed

Calculated values
The total magnetization is 8.9 μB/f.u. The energy of formation comes out at 254 kJ/mol of formula units.

Unit cell a=7.280 b=7.280 c=7.280 alpha=90.00 beta=90.00 gamma=90.00
Space group Fm-3m (No. 225)
Unique sites:
Sr (0.000, 0.000, 0.000) (multiplicity 4)
Tl (0.000, 0.000, 0.500) (multiplicity 4)
Cr (0.250, 0.250, 0.250) (multiplicity 8)

Compound: SrTlCr2
Source: Alexandria
Functional: PBE
Structure: relaxed

Calculated values
The total magnetization is 8.8 μB/f.u. The energy of formation comes out at 268 kJ/mol of formula units.

Unit cell a=5.200 b=5.200 c=7.557 alpha=90.00 beta=90.00 gamma=90.00
Space group I-4m2 (No. 119)
Unique sites:
Sr (0.000, 0.000, 0.000) (multiplicity 2)
Tl (0.000, 0.500, 0.750) (multiplicity 2)
Cr (0.000, 0.000, 0.500) (multiplicity 2)
Cr (0.000, 0.500, 0.250) (multiplicity 2)

Compound: SrTlCr2
Source: Alexandria
Functional: PBE
Structure: relaxed

Calculated values
The total magnetization is 8.8 μB/f.u. The energy of formation comes out at 328 kJ/mol of formula units.

Unit cell a=6.547 b=10.407 c=3.435 alpha=90.00 beta=117.19 gamma=90.00
Space group C2/m (No. 12)
Unique sites:
Sr (0.000, 0.000, 0.000) (multiplicity 2)
Tl (0.000, 0.500, 0.000) (multiplicity 2)
Cr (0.250, 0.250, 0.500) (multiplicity 4)

Compound: SrTlCr3
Source: Alexandria
Functional: PBE
Structure: relaxed

Calculated values
The total magnetization is 15.2 μB/f.u. The energy of formation comes out at 976 kJ/mol of formula units.

Unit cell a=5.886 b=5.886 c=5.886 alpha=90.00 beta=90.00 gamma=90.00
Space group Pm-3m (No. 221)
Unique sites:
Sr (0.000, 0.000, 0.000) (multiplicity 1)
Tl (0.500, 0.500, 0.500) (multiplicity 1)
Cr (0.000, 0.000, 0.500) (multiplicity 3)

Compound: SrTlCr2
Source: Alexandria
Functional: PBE
Structure: relaxed

Calculated values
The total magnetization is 0.1 μB/f.u. The energy of formation comes out at 142 kJ/mol of formula units.

Unit cell a=4.6052 b=4.6052 c=17.3196 alpha=90.00 beta=90.00 gamma=120.00
Space group R3m (No. 160, hexagonal axes)
Unique sites:
Sr (0.0000, 0.0000, 0.0000) (multiplicity 3)
Tl (0.0000, 0.0000, 0.8005) (multiplicity 3)
Cr (0.0000, 0.0000, 0.1980) (multiplicity 3)
Cr (0.0000, 0.0000, 0.5256) (multiplicity 3)

Compound: SrTlCr3
Source: Alexandria
Functional: PBE
Structure: relaxed

Calculated values
The total magnetization is 13.4 μB/f.u. The energy of formation comes out at 549 kJ/mol of formula units.

Unit cell a=5.315 b=5.315 c=5.315 alpha=90.00 beta=90.00 gamma=90.00
Space group Pm-3m (No. 221)
Unique sites:
Sr (0.000, 0.000, 0.000) (multiplicity 1)
Tl (0.500, 0.500, 0.500) (multiplicity 1)
Cr (0.000, 0.500, 0.500) (multiplicity 3)

Compound: Sr4TlCr
Source: Alexandria
Functional: PBE
Structure: relaxed

Calculated values
The total magnetization is 4.6 μB/f.u. The energy of formation comes out at 391 kJ/mol of formula units.

Unit cell a=10.179 b=10.179 c=10.179 alpha=90.00 beta=90.00 gamma=90.00
Space group F-43m (No. 216)
Unique sites:
Sr (0.125, 0.125, 0.125) (multiplicity 16)
Tl (0.250, 0.250, 0.750) (multiplicity 4)
Cr (0.000, 0.000, 0.500) (multiplicity 4)

Compound: SrVCr3
Source: Alexandria
Functional: PBE
Structure: relaxed

Calculated values
The total magnetization is 8.0 μB/f.u. The energy of formation comes out at 460 kJ/mol of formula units.

Unit cell a=4.701 b=4.701 c=4.701 alpha=90.00 beta=90.00 gamma=90.00
Space group Pm-3m (No. 221)
Unique sites:
Sr (0.000, 0.000, 0.000) (multiplicity 1)
V (0.500, 0.500, 0.500) (multiplicity 1)
Cr (0.000, 0.500, 0.500) (multiplicity 3)

Compound: SrV2Cr
Source: Alexandria
Functional: PBE
Structure: relaxed

Calculated values
The total magnetization is 2.4 μB/f.u. The energy of formation comes out at 467 kJ/mol of formula units.

Unit cell a=5.055 b=5.055 c=16.197 alpha=90.00 beta=90.00 gamma=90.00
Space group I4_1/amd (No. 141, origin choice 2)
Unique sites:
Sr (0.000, 0.250, 0.375) (multiplicity 4)
V (0.000, 0.000, 0.000) (multiplicity 8)
Cr (0.000, 0.250, 0.875) (multiplicity 4)